An optimized crystal structure of KPuScBr6. Source: Alexandria via LeMat-Bulk, functional PBE.

For the final energy, the calculation gives -5.182 eV per atom.

The space group is P-31c (No. 163) and the conventional cell measures 7.2860, 7.2860 and 14.6284 Å, with angles of 90.00, 90.00 and 120.00 degrees. The inequivalent atoms are K at (0.0000, 0.0000, 0.0000), Pu at (0.3333, 0.6667, 0.2500), Sc at (0.3333, 0.6667, 0.7500) and Br at (0.0264, 0.3750, 0.6404).


An optimized crystal structure of KPuSnBr6. Source: Alexandria via LeMat-Bulk, functional PBE.

For the final energy, the calculation gives -4.579 eV per atom.

The space group is P4_2nm (No. 102) and the conventional cell measures 7.173, 7.173 and 13.747 Å, with angles of 90.00, 90.00 and 90.00 degrees. The inequivalent atoms are K at (0.000, 0.000, 0.000), Pu at (0.000, 0.000, 0.334), Sn at (0.000, 0.000, 0.668), Br at (0.180, 0.180, 0.499), Br at (0.203, 0.203, 0.186) and Br at (0.216, 0.216, 0.823).


An optimized crystal structure of KPu2SnBr8. Source: Alexandria via LeMat-Bulk, functional PBE.

For the final energy, the calculation gives -5.293 eV per atom.

The space group is P2/m (No. 10) and the conventional cell measures 6.930, 9.037 and 7.267 Å, with angles of 90.00, 91.30 and 90.00 degrees. The inequivalent atoms are K at (0.000, 0.000, 0.000), Pu at (0.500, 0.252, 0.500), Sn at (0.000, 0.500, 0.000), Br at (0.253, 0.269, 0.169), Br at (0.265, 0.500, 0.654) and Br at (0.273, 0.000, 0.636).